Material: Pr2GaPRh6
Method: DFT, PBE
State: relaxed

Structure (POSCAR):
```
Pr2GaPRh6
1.0
6.8548 0.0000 0.0000
0.0000 6.0612 0.0000
0.0000 0.0000 8.8560
Pr Ga P Rh
4 2 2 12
Cartesian
3.4274 4.4485 2.2645 Pr
0.0000 1.6128 6.6925 Pr
3.4274 4.4485 6.5916 Pr
0.0000 1.6128 2.1635 Pr
0.0000 3.8635 4.4280 Ga
3.4274 2.1978 0.0000 Ga
3.4274 0.8272 4.4280 P
0.0000 5.2341 0.0000 P
3.4274 1.3281 2.2604 Rh
3.4274 1.3281 6.5957 Rh
0.0000 4.7331 2.1677 Rh
0.0000 4.7331 6.6884 Rh
1.4362 5.9318 4.4280 Rh
5.4186 5.9318 4.4280 Rh
2.0668 2.7489 4.4280 Rh
4.7880 2.7489 4.4280 Rh
5.4942 3.3123 0.0000 Rh
1.3606 3.3123 0.0000 Rh
1.9912 0.1294 0.0000 Rh
4.8637 0.1294 0.0000 Rh
```

Computed properties:
E_form in eV/atom: -0.63
Total DFT energy (no corrections) in eV per atom: -6.84
M_tot in μB per cell: 0.00
SG: No. 59

***

Material: Pr2GaP3Rh4
Method: DFT, PBE
State: relaxed

Structure (POSCAR):
```
Pr2GaP3Rh4
1.0
4.1583 0.0000 0.0000
0.0000 4.1583 0.0000
0.0000 0.0000 9.9367
Pr Ga P Rh
2 1 3 4
Cartesian
2.0791 0.0000 2.5114 Pr
0.0000 2.0791 7.4253 Pr
2.0791 2.0791 4.9683 Ga
0.0000 0.0000 4.9683 P
2.0791 0.0000 8.6067 P
0.0000 2.0791 1.3299 P
2.0791 2.0791 0.0000 Rh
0.0000 0.0000 0.0000 Rh
2.0791 0.0000 6.2656 Rh
0.0000 2.0791 3.6711 Rh
```

Computed properties:
E_form in eV/atom: -1.02
Total DFT energy (no corrections) in eV per atom: -6.85
M_tot in μB per cell: 0.00
SG: No. 115

***

Material: Pr3GaP2Rh8
Method: DFT, PBE
State: relaxed

Structure (POSCAR):
```
Pr3GaP2Rh8
1.0
-2.8553 -4.1632 -2.1768
0.7449 0.2746 5.4400
-8.0373 5.0708 0.8445
Pr Ga P Rh
3 1 2 8
Cartesian
-5.0257 1.6789 3.3813 Pr
-5.1221 -0.4967 0.7264 Pr
0.0000 0.0000 0.0000 Pr
-4.0186 2.5354 0.4223 Ga
-1.3064 -0.6676 2.9905 P
-8.8413 1.8498 1.1172 P
-7.4863 3.2313 3.6399 Rh
-2.6615 -2.0491 0.4679 Rh
-2.0592 0.9464 4.4270 Rh
-8.0886 0.2358 -0.3192 Rh
-2.4386 0.8065 1.6563 Rh
-7.7092 0.3757 2.4515 Rh
-3.5135 -1.1741 3.3183 Rh
-6.6343 2.3562 0.7894 Rh
```

Computed properties:
E_form in eV/atom: -0.67
Total DFT energy (no corrections) in eV per atom: -6.88
M_tot in μB per cell: 0.00
SG: No. 164

***

Material: Pr3GaP2Rh9
Method: DFT, PBE
State: relaxed

Structure (POSCAR):
```
Pr3GaP2Rh9
1.0
-3.5647 0.3335 -5.4196
-2.8891 -0.9980 5.7312
-0.7328 7.5609 0.9473
Pr Ga P Rh
3 1 2 9
Cartesian
-3.5989 4.4460 2.6408 Pr
0.0000 0.0000 0.0000 Pr
-3.5877 2.4504 -1.3818 Pr
-0.3664 3.7804 0.4736 Ga
-3.2299 0.6388 2.1638 P
-3.9567 6.2575 -0.9048 P
-3.9385 5.1791 -2.8278 Rh
-5.3077 4.7061 -0.1117 Rh
-2.2491 5.0210 -0.2594 Rh
-4.9375 1.8753 1.5183 Rh
-1.8789 2.1903 1.3706 Rh
-3.2481 1.7173 4.0868 Rh
-1.7824 0.1668 -2.7098 Rh
-1.4445 -0.4990 2.8656 Rh
-3.2269 -0.3323 0.1558 Rh
```

Computed properties:
E_form in eV/atom: -0.60
Total DFT energy (no corrections) in eV per atom: -6.89
M_tot in μB per cell: 0.00
SG: No. 164

***

Question: Which of these has the lowest total DFT energy (no corrections)?
Answer: Pr3GaP2Rh9

***

Repeat the second record exactly.
Material: Pr2GaP3Rh4
Method: DFT, PBE
State: relaxed

Structure (POSCAR):
```
Pr2GaP3Rh4
1.0
4.1583 0.0000 0.0000
0.0000 4.1583 0.0000
0.0000 0.0000 9.9367
Pr Ga P Rh
2 1 3 4
Cartesian
2.0791 0.0000 2.5114 Pr
0.0000 2.0791 7.4253 Pr
2.0791 2.0791 4.9683 Ga
0.0000 0.0000 4.9683 P
2.0791 0.0000 8.6067 P
0.0000 2.0791 1.3299 P
2.0791 2.0791 0.0000 Rh
0.0000 0.0000 0.0000 Rh
2.0791 0.0000 6.2656 Rh
0.0000 2.0791 3.6711 Rh
```

Computed properties:
E_form in eV/atom: -1.02
Total DFT energy (no corrections) in eV per atom: -6.85
M_tot in μB per cell: 0.00
SG: No. 115

***

Repeat the fourth record exactly.
Material: Pr3GaP2Rh9
Method: DFT, PBE
State: relaxed

Structure (POSCAR):
```
Pr3GaP2Rh9
1.0
-3.5647 0.3335 -5.4196
-2.8891 -0.9980 5.7312
-0.7328 7.5609 0.9473
Pr Ga P Rh
3 1 2 9
Cartesian
-3.5989 4.4460 2.6408 Pr
0.0000 0.0000 0.0000 Pr
-3.5877 2.4504 -1.3818 Pr
-0.3664 3.7804 0.4736 Ga
-3.2299 0.6388 2.1638 P
-3.9567 6.2575 -0.9048 P
-3.9385 5.1791 -2.8278 Rh
-5.3077 4.7061 -0.1117 Rh
-2.2491 5.0210 -0.2594 Rh
-4.9375 1.8753 1.5183 Rh
-1.8789 2.1903 1.3706 Rh
-3.2481 1.7173 4.0868 Rh
-1.7824 0.1668 -2.7098 Rh
-1.4445 -0.4990 2.8656 Rh
-3.2269 -0.3323 0.1558 Rh
```

Computed properties:
E_form in eV/atom: -0.60
Total DFT energy (no corrections) in eV per atom: -6.89
M_tot in μB per cell: 0.00
SG: No. 164

***

Question: Number 2 is which compound?
Answer: Pr2GaP3Rh4